First-principles (GGA-PBE) data for an optimized crystal structure of CeBeTe2, as listed in Alexandria via LeMat-Bulk.

Calculated values
M_tot = 1.19 μB per formula unit
energy relative to the elements, uncorrected = -0.002 eV/atom
energy = -0.293 Ry/atom
DOS at the Fermi energy = 7.844 states/eV/cell

Cell: 9.4238 9.4238 9.4238 Å, 23.04 23.04 23.04°
Last column: nearest neighbours and their distance in Å.
Element x y z (fractional)
Ce 0.0000 0.0000 0.0000  2 Te 3.10
Be 0.5000 0.5000 0.5000  6 Te 2.63
Te 0.1126 0.1126 0.1126  3 Be 2.63
Te 0.8874 0.8874 0.8874  3 Be 2.63

=====

First-principles (GGA-PBE) data for an optimized crystal structure of CeBeTe, as listed in Alexandria via LeMat-Bulk.

Calculated values
M_tot = 0.85 μB per formula unit
energy relative to the elements, uncorrected = -0.645 eV/atom
energy = -0.361 Ry/atom
DOS at the Fermi energy = 11.049 states/eV/cell

Cell: 8.4373 8.4373 4.1707 Å, 90.00 90.00 150.96°
Last column: nearest neighbours and their distance in Å.
Element x y z (fractional)
Ce 0.1055 0.8945 0.7500  6 Be 3.00-3.25, 4 Te 3.18
Ce 0.8945 0.1055 0.2500  6 Be 3.00-3.25, 4 Te 3.18
Be 0.4749 0.5251 0.7500  2 Be 2.24, 1 Te 2.45
Be 0.5251 0.4749 0.2500  2 Be 2.24, 1 Te 2.45
Te 0.3252 0.6748 0.7500  1 Be 2.45
Te 0.6748 0.3252 0.2500  1 Be 2.45